A relaxed structure of MoPPtO2. Source: Alexandria via LeMat-Bulk, functional PBE+U.

Values from the calculation:
M_tot: 0.79 μB/f.u.
calculated volume: 78.0 Å³/cell
distance to the lowest polymorph of the same formula: 0.0 kJ/mol of atoms

Lattice parameters (Å, degrees): 3.7377 3.7377 5.5863 90.00 90.00 90.00
Last column: nearest neighbours and their distance in Å.
Positions (direct):
Mo1 0.0000 0.0000 0.0000  4 O 1.87
P1 0.0000 0.0000 0.5000  4 Pt 2.64, 2 Mo 2.79
Pt1 0.5000 0.5000 0.5000  4 P 2.64
O1 0.0000 0.5000 0.0000  2 Mo 1.87
O2 0.5000 0.0000 0.0000  2 Mo 1.87